Entry 1:
Below is a geometry-optimized Rb3NaNp2S6 structure, with properties calculated at the GGA-PBE level.

Properties
The calculation puts the magnetization at 6.00 μB per cell. The electronic total energy comes out at -5.906 eV per atom. For the volume, the calculation gives 28.1 A^3/atom. The calculation puts the uncorrected formation energy at -1.3338 eV/atom.

abc: 7.150 7.150 7.989
angles: 98.54 98.54 119.98
Fractional positions:
Np (0.333, 0.667, 0.000)
Np (0.667, 0.333, 0.000)
S (0.572, 0.936, 0.807)
S (0.702, 0.702, 0.188)
S (0.064, 0.428, 0.193)
S (0.936, 0.572, 0.807)
S (0.428, 0.064, 0.193)
S (0.298, 0.298, 0.812)
Rb (0.500, 0.500, 0.500)
Rb (0.843, 0.157, 0.500)
Rb (0.157, 0.843, 0.500)
Na (0.000, 0.000, 0.000)


Entry 2:
Below is a geometry-optimized RbNa2Np3S6 structure, with properties calculated at the GGA-PBE level.

Properties
The calculation puts the magnetization at 4.03 μB per cell. The electronic total energy comes out at -6.906 eV per atom. For the volume, the calculation gives 25.6 A^3/atom. The calculation puts the uncorrected formation energy at -1.3063 eV/atom.

abc: 4.063 8.502 9.486
angles: 106.24 102.37 90.00
Fractional positions:
S (0.661, 0.596, 0.323)
S (0.011, 0.720, 0.021)
S (0.989, 0.280, 0.979)
S (0.323, 0.940, 0.645)
S (0.339, 0.404, 0.677)
S (0.677, 0.060, 0.355)
Np (0.500, 0.500, 0.000)
Np (0.830, 0.172, 0.661)
Np (0.170, 0.828, 0.339)
Rb (0.500, 0.000, 0.000)
Na (0.171, 0.339, 0.343)
Na (0.829, 0.661, 0.657)


Entry 3:
Below is a geometry-optimized RbNaNpS3 structure, with properties calculated at the GGA-PBE level.

Properties
The calculation puts the magnetization at 6.00 μB per cell. The electronic total energy comes out at -5.868 eV per atom. For the volume, the calculation gives 29.2 A^3/atom. The calculation puts the uncorrected formation energy at -1.2664 eV/atom.

abc: 4.131 10.706 8.114
angles: 102.79 90.00 90.00
Fractional positions:
Na (0.750, 0.962, 0.317)
Na (0.250, 0.038, 0.683)
Rb (0.750, 0.668, 0.610)
Rb (0.250, 0.332, 0.390)
S (0.250, 0.210, 0.992)
S (0.250, 0.818, 0.412)
S (0.750, 0.182, 0.588)
S (0.750, 0.790, 0.008)
S (0.250, 0.484, 0.811)
S (0.750, 0.516, 0.189)
Np (0.750, 0.333, 0.889)
Np (0.250, 0.667, 0.111)


Entry 4:
Below is a geometry-optimized RbNa2Np3S8 structure, with properties calculated at the GGA-PBE level.

Properties
The calculation puts the magnetization at 8.00 μB per cell. The electronic total energy comes out at -6.611 eV per atom. For the volume, the calculation gives 29.6 A^3/atom. The calculation puts the uncorrected formation energy at -1.2217 eV/atom.

abc: 8.187 8.187 8.566
angles: 61.45 61.45 60.00
Fractional positions:
S (0.250, 0.701, 0.799)
S (0.267, 0.267, 0.198)
S (0.250, 0.250, 0.799)
S (0.701, 0.250, 0.799)
S (0.744, 0.744, 0.192)
S (0.729, 0.729, 0.814)
S (0.744, 0.319, 0.192)
S (0.319, 0.744, 0.192)
Na (0.116, 0.116, 0.651)
Na (0.499, 0.499, 0.504)
Np (0.002, 0.500, 0.998)
Np (0.500, 0.002, 0.998)
Np (0.500, 0.500, 0.998)
Rb (0.871, 0.871, 0.387)


Entry 5:
Below is a geometry-optimized Rb4NaNp3S8 structure, with properties calculated at the GGA-PBE level.

Properties
The calculation puts the magnetization at 10.00 μB per cell. The electronic total energy comes out at -6.160 eV per atom. For the volume, the calculation gives 28.3 A^3/atom. The calculation puts the uncorrected formation energy at -1.3451 eV/atom.

abc: 8.279 8.996 8.281
angles: 117.42 119.99 90.00
Fractional positions:
S (0.760, 0.312, 0.052)
S (0.731, 0.691, 0.461)
S (0.292, 0.312, 0.052)
S (0.759, 0.312, 0.518)
S (0.241, 0.688, 0.482)
S (0.708, 0.688, 0.948)
S (0.269, 0.309, 0.539)
S (0.240, 0.688, 0.948)
Rb (0.500, 0.000, 0.500)
Rb (0.500, 0.000, 0.000)
Rb (0.000, 0.000, 0.000)
Rb (0.000, 0.000, 0.500)
Np (0.500, 0.500, 0.000)
Np (0.500, 0.500, 0.500)
Np (0.000, 0.500, 0.500)
Na (0.000, 0.500, 0.000)


Entry 6:
Below is a geometry-optimized RbNa2NpS4 structure, with properties calculated at the GGA-PBE level.

Properties
The calculation puts the magnetization at 2.00 μB per cell. The electronic total energy comes out at -5.231 eV per atom. For the volume, the calculation gives 27.9 A^3/atom. The calculation puts the uncorrected formation energy at -1.0990 eV/atom.

abc: 5.546 5.546 8.253
angles: 109.64 109.63 90.00
Fractional positions:
S (0.922, 0.422, 0.844)
S (0.578, 0.078, 0.156)
S (0.250, 0.250, 0.501)
S (0.750, 0.750, 0.499)
Rb (0.500, 0.500, 0.000)
Na (0.250, 0.750, 0.500)
Na (0.000, 0.000, 0.000)
Np (0.750, 0.250, 0.500)


Entry 7:
Below is a geometry-optimized Rb2Na2NpS4 structure, with properties calculated at the GGA-PBE level.

Properties
The calculation puts the magnetization at 3.00 μB per cell. The electronic total energy comes out at -4.949 eV per atom. For the volume, the calculation gives 28.2 A^3/atom. The calculation puts the uncorrected formation energy at -1.1681 eV/atom.

abc: 4.285 8.076 8.274
angles: 112.56 105.01 90.00
Fractional positions:
S (0.813, 0.828, 0.627)
S (0.501, 0.220, 0.002)
S (0.499, 0.780, 0.998)
S (0.187, 0.172, 0.373)
Na (0.322, 0.031, 0.645)
Na (0.678, 0.969, 0.355)
Rb (0.141, 0.546, 0.282)
Rb (0.859, 0.454, 0.718)
Np (0.000, 0.000, 0.000)


Entry 8:
Below is a geometry-optimized Rb3NaNp2Se6 structure, with properties calculated at the GGA-PBE level.

Properties
The calculation puts the magnetization at 6.00 μB per cell. The electronic total energy comes out at -5.473 eV per atom. For the volume, the calculation gives 31.9 A^3/atom. The calculation puts the uncorrected formation energy at -1.2225 eV/atom.

abc: 7.460 7.460 8.309
angles: 98.58 98.58 119.99
Fractional positions:
Se (0.065, 0.426, 0.196)
Se (0.574, 0.935, 0.804)
Se (0.935, 0.574, 0.804)
Se (0.706, 0.706, 0.192)
Se (0.294, 0.294, 0.808)
Se (0.426, 0.065, 0.196)
Np (0.333, 0.667, 0.000)
Np (0.667, 0.333, 0.000)
Rb (0.842, 0.158, 0.500)
Rb (0.158, 0.842, 0.500)
Rb (0.500, 0.500, 0.500)
Na (0.000, 0.000, 0.000)